# PBE CaPr8Er3, relaxed
data_CaPr8Er3
_chemical_formula_sum 'Ca2 Pr16 Er6'
_symmetry_space_group_name_H-M 'C 1 m 1'
_symmetry_Int_Tables_number 8
_symmetry_space_group_name_Hall 'C -2y'
_cell_length_a 18.735
_cell_length_b 3.558
_cell_length_c 13.295
_cell_angle_alpha 90.00
_cell_angle_beta 104.92
_cell_angle_gamma 90.00
loop_
_atom_site_label
_atom_site_type_symbol
_atom_site_fract_x
_atom_site_fract_y
_atom_site_fract_z
_atom_site_occupancy
Ca1 Ca 0.000 0.000 0.000 1
Pr1 Pr 0.149 0.000 0.415 1
Pr2 Pr 0.160 0.500 0.911 1
Pr3 Pr 0.163 0.500 0.180 1
Pr4 Pr 0.314 0.500 0.571 1
Pr5 Pr 0.317 0.500 0.827 1
Pr6 Pr 0.324 0.000 0.333 1
Pr7 Pr 0.485 0.500 0.502 1
Pr8 Pr 0.488 0.000 0.255 1
Er1 Er 0.141 0.500 0.649 1
Er2 Er 0.328 0.500 0.098 1
Er3 Er 0.471 0.000 0.738 1
# Energy of formation from the pure elements, eV per formula unit: 1.825

# PBE CaPrEr, relaxed
data_CaPrEr
_chemical_formula_sum 'Ca2 Pr2 Er2'
_symmetry_space_group_name_H-M 'P m m a'
_symmetry_Int_Tables_number 51
_symmetry_space_group_name_Hall '-P 2a 2a'
_cell_length_a 6.740
_cell_length_b 3.541
_cell_length_c 9.192
_cell_angle_alpha 90.00
_cell_angle_beta 90.00
_cell_angle_gamma 90.00
loop_
_atom_site_label
_atom_site_type_symbol
_atom_site_fract_x
_atom_site_fract_y
_atom_site_fract_z
_atom_site_occupancy
Ca1 Ca 0.250 0.000 0.144 1
Pr1 Pr 0.250 0.500 0.780 1
Er1 Er 0.000 0.000 0.500 1
# E above lowest polymorph, kJ per mole of atoms: 12.73
# Energy of formation from the pure elements, eV per formula unit: 0.490

# PBE CaPr8Er6, relaxed
data_CaPr8Er6
_chemical_formula_sum 'Ca3 Pr24 Er18'
_symmetry_space_group_name_H-M 'R -3'
_symmetry_Int_Tables_number 148
_symmetry_space_group_name_Hall '-R 3'
_cell_length_a 9.8199
_cell_length_b 9.8199
_cell_length_c 18.2486
_cell_angle_alpha 90.00
_cell_angle_beta 90.00
_cell_angle_gamma 120.00
loop_
_atom_site_label
_atom_site_type_symbol
_atom_site_fract_x
_atom_site_fract_y
_atom_site_fract_z
_atom_site_occupancy
Ca1 Ca 0.0000 0.0000 0.0000 1
Pr1 Pr 0.0000 0.0000 0.2407 1
Pr2 Pr 0.0453 0.2831 0.9020 1
Er1 Er 0.0266 0.2330 0.4098 1
# Energy of formation from the pure elements, eV per formula unit: 2.610

# PBE Ca2Pr4Er, relaxed
data_Ca2Pr4Er
_chemical_formula_sum 'Ca4 Pr8 Er2'
_symmetry_space_group_name_H-M 'I m m m'
_symmetry_Int_Tables_number 71
_symmetry_space_group_name_Hall '-I 2 2'
_cell_length_a 3.608
_cell_length_b 5.956
_cell_length_c 23.937
_cell_angle_alpha 90.00
_cell_angle_beta 90.00
_cell_angle_gamma 90.00
loop_
_atom_site_label
_atom_site_type_symbol
_atom_site_fract_x
_atom_site_fract_y
_atom_site_fract_z
_atom_site_occupancy
Ca1 Ca 0.000 0.000 0.221 1
Pr1 Pr 0.000 0.500 0.130 1
Pr2 Pr 0.000 0.500 0.420 1
Er1 Er 0.000 0.000 0.500 1
# Energy of formation from the pure elements, eV per formula unit: 0.785

| no. | raw total energy (eV per atom) |
| --- | --- |
| 1 | -4.34 |
| 2 | -3.62 |
| 3 | -4.33 |
| 4 | -3.84 |